Below is a relaxed structure of Tb7Sm4Tm, with properties calculated at the GGA-PBE level.

Lattice parameters (Å, degrees): 5.937 11.637 6.725 83.75 63.80 75.22
Fractional coordinates of all 12 atoms:
1 Tb 0.788 0.924 0.500
2 Tb 0.212 0.076 0.500
3 Tb 0.067 0.687 0.178
4 Tb 0.933 0.313 0.822
5 Tb 0.369 0.496 0.767
6 Tb 0.500 0.000 0.000
7 Tb 0.631 0.504 0.233
8 Sm 0.642 0.223 0.494
9 Sm 0.358 0.777 0.506
10 Sm 0.773 0.670 0.784
11 Sm 0.227 0.330 0.216
12 Tm 0.000 0.000 0.000

DOS(E_F): 19.808 states/eV per cell
distance to the lowest polymorph of the same formula: 188.1 meV per atom
total magnetization: 0.0 μB/cell
V: 403.1 Å³/cell
SG: C2/m
crystal system: monoclinic